# LiCoAg2F6 GGA+U optimized geometry
# * calculated total energy: -4.12 eV per atom
# * crystal system: monoclinic
# * theoretical density: 5453 kg/m³
data_LiCoAg2F6
_cell_length_a 5.508
_cell_length_b 5.503
_cell_length_c 9.665
_cell_angle_alpha 90.00
_cell_angle_beta 124.66
_cell_angle_gamma 90.00
_symmetry_space_group_name_H-M 'P 1 21/c 1'
_symmetry_Int_Tables_number 14
loop_
_symmetry_equiv_pos_as_xyz
'x,y,z'
'-x,-y,-z'
'-x,y+1/2,-z+1/2'
'x,-y+1/2,z+1/2'
loop_
_atom_site_label
_atom_site_type_symbol
_atom_site_fract_x
_atom_site_fract_y
_atom_site_fract_z
Li1 Li 0.000 0.000 0.000
Co1 Co 0.500 0.000 0.500
Ag1 Ag 0.250 0.011 0.750
F1 F 0.205 0.190 0.487
F2 F 0.292 0.006 0.265
F3 F 0.297 0.717 0.486